Entry 1:
# HoNiSn4 (PBE, optimized geometry)
# V = 23.62 Å³ per atom
# D(E_F) = 3.14 states/eV/f.u.
# crystal system = orthorhombic
# VASP energy = -4.731 eV per atom
data_HoNiSn4
_space_group_name_H-M_alt 'C m m m'
_space_group_IT_number 65
_space_group_name_Hall '-C 2 2'
_cell_length_a 4.417
_cell_length_b 28.331
_cell_length_c 4.531
_cell_angle_alpha 90.00
_cell_angle_beta 90.00
_cell_angle_gamma 90.00
loop_
_atom_site_label
_atom_site_type_symbol
_atom_site_fract_x
_atom_site_fract_y
_atom_site_fract_z
Ho1 Ho 0.000 0.195 0.000
Ni1 Ni 0.000 0.448 0.500
Sn1 Sn 0.000 0.000 0.500
Sn2 Sn 0.000 0.110 0.500
Sn3 Sn 0.000 0.286 0.500
Sn4 Sn 0.000 0.391 0.000
Sn5 Sn 0.000 0.500 0.000


Entry 2:
# TbHoNiSn (PBE, optimized geometry)
# V = 23.37 Å³ per atom
# D(E_F) = 1.99 states/eV/f.u.
# crystal system = cubic
# VASP energy = -5.189 eV per atom
data_TbHoNiSn
_space_group_name_H-M_alt 'F -4 3 m'
_space_group_IT_number 216
_space_group_name_Hall 'F -4 2 3'
_cell_length_a 7.205
_cell_length_b 7.205
_cell_length_c 7.205
_cell_angle_alpha 90.00
_cell_angle_beta 90.00
_cell_angle_gamma 90.00
loop_
_atom_site_label
_atom_site_type_symbol
_atom_site_fract_x
_atom_site_fract_y
_atom_site_fract_z
Tb1 Tb 0.000 0.000 0.000
Ho1 Ho 0.000 0.000 0.500
Ni1 Ni 0.250 0.250 0.250
Sn1 Sn 0.250 0.250 0.750


Entry 3:
# Ho2Zn2Ni5Sn (PBE, optimized geometry)
# V = 15.71 Å³ per atom
# D(E_F) = 5.22 states/eV/f.u.
# crystal system = tetragonal
# VASP energy = -4.798 eV per atom
data_Ho2Zn2Ni5Sn
_space_group_name_H-M_alt 'P 4/m b m'
_space_group_IT_number 127
_space_group_name_Hall '-P 4 2ab'
_cell_length_a 9.301
_cell_length_b 9.301
_cell_length_c 3.631
_cell_angle_alpha 90.00
_cell_angle_beta 90.00
_cell_angle_gamma 90.00
loop_
_atom_site_label
_atom_site_type_symbol
_atom_site_fract_x
_atom_site_fract_y
_atom_site_fract_z
Ho1 Ho 0.180 0.320 0.000
Zn1 Zn 0.116 0.616 0.000
Ni1 Ni 0.000 0.500 0.500
Ni2 Ni 0.063 0.787 0.500
Sn1 Sn 0.000 0.000 0.000


Entry 4:
# HoZnNi4Sn2 (PBE, optimized geometry)
# V = 16.04 Å³ per atom
# D(E_F) = 4.40 states/eV/f.u.
# crystal system = trigonal
# VASP energy = -4.950 eV per atom
data_HoZnNi4Sn2
_space_group_name_H-M_alt 'R -3 m'
_space_group_IT_number 166
_space_group_name_Hall '-R 3 2"'
_cell_length_a 4.3012
_cell_length_b 4.3012
_cell_length_c 24.0213
_cell_angle_alpha 90.00
_cell_angle_beta 90.00
_cell_angle_gamma 120.00
loop_
_atom_site_label
_atom_site_type_symbol
_atom_site_fract_x
_atom_site_fract_y
_atom_site_fract_z
Ho1 Ho 0.0000 0.0000 0.0000
Zn1 Zn 0.0000 0.0000 0.5000
Ni1 Ni 0.0000 0.0000 0.1324
Ni2 Ni 0.0000 0.0000 0.3992
Sn1 Sn 0.0000 0.0000 0.2454


Entry 5:
# HoZnNiSn (PBE, optimized geometry)
# V = 18.39 Å³ per atom
# D(E_F) = 2.30 states/eV/f.u.
# crystal system = cubic
# VASP energy = -4.280 eV per atom
data_HoZnNiSn
_space_group_name_H-M_alt 'F -4 3 m'
_space_group_IT_number 216
_space_group_name_Hall 'F -4 2 3'
_cell_length_a 6.651
_cell_length_b 6.651
_cell_length_c 6.651
_cell_angle_alpha 90.00
_cell_angle_beta 90.00
_cell_angle_gamma 90.00
loop_
_atom_site_label
_atom_site_type_symbol
_atom_site_fract_x
_atom_site_fract_y
_atom_site_fract_z
Ho1 Ho 0.000 0.000 0.000
Zn1 Zn 0.250 0.250 0.750
Ni1 Ni 0.250 0.250 0.250
Sn1 Sn 0.000 0.000 0.500


Entry 6:
# SrHoNi (PBE, optimized geometry)
# V = 32.38 Å³ per atom
# D(E_F) = 2.31 states/eV/f.u.
# crystal system = monoclinic
# VASP energy = -4.150 eV per atom
data_SrHoNi
_space_group_name_H-M_alt 'C 1 2/m 1'
_space_group_IT_number 12
_space_group_name_Hall '-C 2y'
_cell_length_a 21.573
_cell_length_b 4.932
_cell_length_c 7.325
_cell_angle_alpha 90.00
_cell_angle_beta 94.55
_cell_angle_gamma 90.00
loop_
_atom_site_label
_atom_site_type_symbol
_atom_site_fract_x
_atom_site_fract_y
_atom_site_fract_z
Sr1 Sr 0.075 0.000 0.286
Sr2 Sr 0.093 0.500 0.812
Ho1 Ho 0.211 0.000 0.605
Ho2 Ho 0.231 0.000 0.128
Ni1 Ni 0.172 0.500 0.480
Ni2 Ni 0.184 0.500 0.158


Entry 7:
# SrHoNi10 (PBE, optimized geometry)
# V = 14.04 Å³ per atom
# D(E_F) = 15.80 states/eV/f.u.
# crystal system = orthorhombic
# VASP energy = -5.514 eV per atom
data_SrHoNi10
_space_group_name_H-M_alt 'P m m m'
_space_group_IT_number 47
_space_group_name_Hall '-P 2 2'
_cell_length_a 3.949
_cell_length_b 4.964
_cell_length_c 8.597
_cell_angle_alpha 90.00
_cell_angle_beta 90.00
_cell_angle_gamma 90.00
loop_
_atom_site_label
_atom_site_type_symbol
_atom_site_fract_x
_atom_site_fract_y
_atom_site_fract_z
Sr1 Sr 0.000 0.000 0.000
Ho1 Ho 0.000 0.500 0.500
Ni1 Ni 0.000 0.000 0.341
Ni2 Ni 0.000 0.500 0.177
Ni3 Ni 0.500 0.000 0.500
Ni4 Ni 0.500 0.255 0.259
Ni5 Ni 0.500 0.500 0.000


Entry 8:
# SrHo2Ni (PBE, optimized geometry)
# V = 34.76 Å³ per atom
# D(E_F) = 3.83 states/eV/f.u.
# crystal system = trigonal
# VASP energy = -4.152 eV per atom
# energy relative to the lowest polymorph listed for this composition = 89 meV/atom
data_SrHo2Ni
_space_group_name_H-M_alt 'R -3 m'
_space_group_IT_number 166
_space_group_name_Hall '-R 3 2"'
_cell_length_a 3.9211
_cell_length_b 3.9211
_cell_length_c 31.3293
_cell_angle_alpha 90.00
_cell_angle_beta 90.00
_cell_angle_gamma 120.00
loop_
_atom_site_label
_atom_site_type_symbol
_atom_site_fract_x
_atom_site_fract_y
_atom_site_fract_z
Sr1 Sr 0.0000 0.0000 0.0000
Ho1 Ho 0.0000 0.0000 0.1210
Ni1 Ni 0.0000 0.0000 0.5000


Entry 9:
# SrHo2Ni (PBE, optimized geometry)
# V = 29.02 Å³ per atom
# D(E_F) = 5.07 states/eV/f.u.
# crystal system = tetragonal
# VASP energy = -4.241 eV per atom
# energy relative to the lowest polymorph listed for this composition = 0 meV/atom
data_SrHo2Ni
_space_group_name_H-M_alt 'P 4/m m m'
_space_group_IT_number 123
_space_group_name_Hall '-P 4 2'
_cell_length_a 3.477
_cell_length_b 3.477
_cell_length_c 9.604
_cell_angle_alpha 90.00
_cell_angle_beta 90.00
_cell_angle_gamma 90.00
loop_
_atom_site_label
_atom_site_type_symbol
_atom_site_fract_x
_atom_site_fract_y
_atom_site_fract_z
Sr1 Sr 0.000 0.000 0.000
Ho1 Ho 0.500 0.500 0.336
Ni1 Ni 0.000 0.000 0.500


Entry 10:
# Sr2HoNi9 (PBE, optimized geometry)
# V = 15.27 Å³ per atom
# D(E_F) = 12.35 states/eV/f.u.
# crystal system = trigonal
# VASP energy = -5.136 eV per atom
data_Sr2HoNi9
_space_group_name_H-M_alt 'R -3 m'
_space_group_IT_number 166
_space_group_name_Hall '-R 3 2"'
_cell_length_a 5.0320
_cell_length_b 5.0320
_cell_length_c 25.0722
_cell_angle_alpha 90.00
_cell_angle_beta 90.00
_cell_angle_gamma 120.00
loop_
_atom_site_label
_atom_site_type_symbol
_atom_site_fract_x
_atom_site_fract_y
_atom_site_fract_z
Sr1 Sr 0.0000 0.0000 0.1403
Ho1 Ho 0.0000 0.0000 0.0000
Ni1 Ni 0.0000 0.0000 0.3323
Ni2 Ni 0.0000 0.0000 0.5000
Ni3 Ni 0.0036 0.5018 0.0772


Entry 11:
# HoTaNi (PBE, optimized geometry)
# V = 19.92 Å³ per atom
# D(E_F) = 2.80 states/eV/f.u.
# crystal system = tetragonal
# VASP energy = -7.516 eV per atom
data_HoTaNi
_space_group_name_H-M_alt 'I 4/m m m'
_space_group_IT_number 139
_space_group_name_Hall '-I 4 2'
_cell_length_a 4.234
_cell_length_b 4.234
_cell_length_c 13.336
_cell_angle_alpha 90.00
_cell_angle_beta 90.00
_cell_angle_gamma 90.00
loop_
_atom_site_label
_atom_site_type_symbol
_atom_site_fract_x
_atom_site_fract_y
_atom_site_fract_z
Ho1 Ho 0.000 0.000 0.184
Ta1 Ta 0.000 0.500 0.000
Ni1 Ni 0.000 0.000 0.390


Entry 12:
# HoTaNi4 (PBE, optimized geometry)
# V = 14.08 Å³ per atom
# D(E_F) = 5.42 states/eV/f.u.
# crystal system = cubic
# VASP energy = -6.823 eV per atom
data_HoTaNi4
_space_group_name_H-M_alt 'F -4 3 m'
_space_group_IT_number 216
_space_group_name_Hall 'F -4 2 3'
_cell_length_a 6.965
_cell_length_b 6.965
_cell_length_c 6.965
_cell_angle_alpha 90.00
_cell_angle_beta 90.00
_cell_angle_gamma 90.00
loop_
_atom_site_label
_atom_site_type_symbol
_atom_site_fract_x
_atom_site_fract_y
_atom_site_fract_z
Ho1 Ho 0.000 0.000 0.000
Ta1 Ta 0.250 0.250 0.250
Ni1 Ni 0.124 0.124 0.624


What is the formula in the sixth record?
SrHoNi